Entry 1:
! Ca2TmMg (PBE, optimized geometry); values from VASP
&SYSTEM
  ibrav = 0, nat = 4, ntyp = 3
/
ATOMIC_SPECIES
Ca 40.08 Ca.upf
Tm 168.93 Tm.upf
Mg 24.30 Mg.upf
ATOMIC_POSITIONS crystal
Ca 0.000 0.000 0.000
Ca 0.172 0.172 0.172
Tm 0.420 0.420 0.420
Mg 0.586 0.586 0.586
CELL_PARAMETERS angstrom
1.829 1.056 11.648
-1.829 1.056 11.648
0.000 -2.112 11.648
! Calculated formation energy in meV per atom: 100
! Energy above the most stable polymorph in this dataset in eV/f.u.: 0.05

=====

Entry 2:
! Li2Ag5Pd5 (PBE, optimized geometry); values from VASP
&SYSTEM
  ibrav = 0, nat = 12, ntyp = 3
/
ATOMIC_SPECIES
Li 6.94 Li.upf
Ag 107.87 Ag.upf
Pd 106.42 Pd.upf
ATOMIC_POSITIONS crystal
Li 0.082 0.082 0.255
Li 0.918 0.918 0.745
Ag 0.000 0.000 0.500
Ag 0.163 0.163 0.999
Ag 0.252 0.252 0.747
Ag 0.748 0.748 0.253
Ag 0.837 0.837 0.001
Pd 0.333 0.333 0.501
Pd 0.420 0.420 0.251
Pd 0.500 0.500 0.000
Pd 0.580 0.580 0.749
Pd 0.667 0.667 0.499
CELL_PARAMETERS angstrom
5.983 -2.009 0.000
5.983 2.009 0.000
-4.011 0.000 8.019
! Calculated formation energy in meV per atom: -160
! Energy above the most stable polymorph in this dataset in eV/f.u.: 0.09

=====

Entry 3:
! Pr3CdPd8 (PBE, optimized geometry); values from VASP
&SYSTEM
  ibrav = 0, nat = 12, ntyp = 3
/
ATOMIC_SPECIES
Pr 140.91 Pr.upf
Cd 112.41 Cd.upf
Pd 106.42 Pd.upf
ATOMIC_POSITIONS crystal
Pr 0.000 0.000 0.000
Pr 0.129 0.129 0.129
Pr 0.515 0.515 0.515
Cd 0.636 0.636 0.636
Pd 0.069 0.569 0.569
Pd 0.070 0.070 0.566
Pd 0.070 0.566 0.070
Pd 0.318 0.318 0.318
Pd 0.566 0.070 0.070
Pd 0.569 0.069 0.569
Pd 0.569 0.569 0.069
Pd 0.819 0.819 0.819
CELL_PARAMETERS angstrom
2.747 1.586 9.002
-2.747 1.586 9.002
0.000 -3.172 9.002
! Calculated formation energy in meV per atom: -705

=====

Entry 4:
! Rb2Li2PuO6 (PBE, optimized geometry); values from VASP
&SYSTEM
  ibrav = 0, nat = 11, ntyp = 4
/
ATOMIC_SPECIES
Rb 85.47 Rb.upf
Li 6.94 Li.upf
Pu 244.00 Pu.upf
O 16.00 O.upf
ATOMIC_POSITIONS crystal
Rb 0.218 0.218 0.218
Rb 0.782 0.782 0.782
Li 0.403 0.403 0.403
Li 0.597 0.597 0.597
Pu 0.000 0.000 0.000
O 0.220 0.220 0.761
O 0.220 0.761 0.220
O 0.239 0.780 0.780
O 0.761 0.220 0.220
O 0.780 0.239 0.780
O 0.780 0.780 0.239
CELL_PARAMETERS angstrom
3.006 1.736 5.838
-3.006 1.736 5.838
0.000 -3.471 5.838
! Raw formation energy in eV per atom: -1.987

=====

Entry 5:
! BaSc2Co (PBE, optimized geometry); values from VASP
&SYSTEM
  ibrav = 0, nat = 4, ntyp = 3
/
ATOMIC_SPECIES
Ba 137.33 Ba.upf
Sc 44.96 Sc.upf
Co 58.93 Co.upf
ATOMIC_POSITIONS crystal
Ba 0.000 0.000 0.000
Sc 0.499 0.500 0.343
Sc 0.501 0.500 0.657
Co 0.000 0.000 0.500
CELL_PARAMETERS angstrom
3.283 0.000 0.000
0.000 3.283 0.000
-0.011 0.000 9.355
! Calculated formation energy in meV per atom: 35
! Energy above the most stable polymorph in this dataset in eV/f.u.: 0.00

=====

Entry 6:
! La8Ag2N3 (PBE, optimized geometry); values from VASP
&SYSTEM
  ibrav = 0, nat = 13, ntyp = 3
/
ATOMIC_SPECIES
La 138.91 La.upf
Ag 107.87 Ag.upf
N 14.01 N.upf
ATOMIC_POSITIONS crystal
La 0.100 0.100 0.901
La 0.144 0.669 0.612
La 0.331 0.856 0.388
La 0.392 0.392 0.033
La 0.608 0.608 0.967
La 0.669 0.144 0.612
La 0.856 0.331 0.388
La 0.900 0.900 0.099
Ag 0.260 0.260 0.314
Ag 0.740 0.740 0.686
N 0.000 0.000 0.500
N 0.249 0.751 0.000
N 0.751 0.249 0.000
CELL_PARAMETERS angstrom
7.549 -3.683 0.000
7.549 3.683 0.000
-2.012 0.000 6.461
! Raw formation energy in eV per atom: -0.618

=====

Entry 7:
! Rb3Ag2Te2 (PBE, optimized geometry); values from VASP
&SYSTEM
  ibrav = 0, nat = 28, ntyp = 3
/
ATOMIC_SPECIES
Rb 85.47 Rb.upf
Ag 107.87 Ag.upf
Te 127.60 Te.upf
ATOMIC_POSITIONS crystal
Rb 0.119 0.141 0.104
Rb 0.119 0.141 0.396
Rb 0.119 0.359 0.604
Rb 0.119 0.359 0.896
Rb 0.335 0.724 0.750
Rb 0.335 0.776 0.250
Rb 0.665 0.224 0.750
Rb 0.665 0.276 0.250
Rb 0.881 0.641 0.104
Rb 0.881 0.641 0.396
Rb 0.881 0.859 0.604
Rb 0.881 0.859 0.896
Ag 0.397 0.015 0.581
Ag 0.397 0.015 0.919
Ag 0.397 0.485 0.081
Ag 0.397 0.485 0.419
Ag 0.603 0.515 0.581
Ag 0.603 0.515 0.919
Ag 0.603 0.985 0.081
Ag 0.603 0.985 0.419
Te 0.190 0.063 0.750
Te 0.190 0.437 0.250
Te 0.387 0.750 0.000
Te 0.387 0.750 0.500
Te 0.613 0.250 0.000
Te 0.613 0.250 0.500
Te 0.810 0.563 0.750
Te 0.810 0.937 0.250
CELL_PARAMETERS angstrom
6.598 0.000 0.000
0.000 10.828 0.000
0.000 0.000 14.779
! Raw formation energy in eV per atom: -0.545

=====

Entry 8:
! SbSeCl2 (PBE, optimized geometry); values from VASP
&SYSTEM
  ibrav = 0, nat = 4, ntyp = 3
/
ATOMIC_SPECIES
Sb 121.76 Sb.upf
Se 78.96 Se.upf
Cl 35.45 Cl.upf
ATOMIC_POSITIONS crystal
Sb 0.000 0.000 0.000
Se 0.500 0.500 0.500
Cl 0.080 0.080 0.080
Cl 0.920 0.920 0.920
CELL_PARAMETERS angstrom
1.667 0.963 10.358
-1.667 0.963 10.358
0.000 -1.925 10.358
! Raw formation energy in eV per atom: 0.121
! Energy above the most stable polymorph in this dataset in eV/f.u.: 2.05

=====

no.,DFT total energy (eV/cell)
1,-9.7
2,-46.0
3,-65.3
4,-71.7
5,-21.6
6,-78.1
7,-74.8
8,-10.8